Material: Rb4HfO4
Method: DFT, PBE-GGA
State: optimized geometry

```
Rb4HfO4
1.0
6.8184 0.0000 0.0000
0.0000 19.1241 0.0000
-2.6850 0.0000 6.2421
Hf O Rb
4 16 16
Cartesian
1.1988 2.3511 1.2300
4.2772 11.9131 1.8911
-0.1437 7.2110 4.3510
2.9347 16.7731 5.0121
6.7350 3.2748 0.0409
2.7624 1.8180 0.1576
3.6152 13.2012 0.5650
5.0641 10.4274 0.8669
0.4119 0.8653 2.2541
1.8607 3.6392 2.5561
2.7135 11.3800 2.9635
-1.2590 12.8369 3.0801
5.3925 6.2872 3.1620
1.4199 7.7441 3.2786
2.2727 15.4850 3.6860
3.7216 18.2588 3.9880
-0.9306 8.6967 5.3752
0.5183 5.9229 5.6771
1.3711 17.3062 6.0845
-2.6015 15.8493 6.2012
0.8050 5.9209 1.1427
4.3162 4.1536 1.1940
3.8183 7.9799 1.4511
0.8482 9.8373 1.5414
4.6278 0.2752 1.5797
1.6576 17.5419 1.6700
1.1597 13.7157 1.9271
4.6710 15.4830 1.9783
-0.5375 3.6412 4.2638
2.9737 5.4085 4.3150
2.4758 1.5822 4.5721
-0.4943 18.8489 4.6624
3.2853 9.2869 4.7007
0.3151 11.1443 4.7910
-0.1828 14.9705 5.0481
3.3285 13.2032 5.0994
```

## Properties
* energy above the lowest structure with this stoichiometry: 0.00 eV per formula unit
* space group: No. 14
* crystal system: monoclinic
* E_tot: -208.43 eV per cell
* calculated volume: 22.610 A^3/atom
* total magnetization: 0.00 μB/cell